# 1
Computed, not measured: ZrBeTlSe3 after structural relaxation at the PBE level of DFT.

```
12
Lattice="7.5192 0.9438 -2.5584 -7.7807 -1.5087 -1.0763 -1.7480 10.0380 -1.4345" Properties=species:S:1:pos:R:3 pbc="T T T"
Be -7.6400 1.0934 -1.4909
Be 5.6305 8.3796 -3.5783
Se -6.0393 -0.4968 -1.3589
Se -1.4151 2.0912 -2.0939
Se -6.6650 3.0964 -1.8724
Se 4.6555 6.3766 -3.1968
Se -0.5944 7.3818 -2.9753
Se 4.0298 9.9698 -3.7103
Tl 3.3054 2.8479 -2.5512
Tl -5.3149 6.6252 -2.5180
Zr -0.1308 -0.2825 -1.8173
Zr -1.0048 4.7365 -2.5346
```

Properties
Uncorrected energy = -60.5 eV per cell
SG = Cmcm (63)

# 2
Computed, not measured: Sm2BeSi3 after structural relaxation at the PBE level of DFT.

```
6
Lattice="-3.6030 1.5547 -0.5855 0.3386 -0.7575 -4.0949 -2.8036 -6.1556 0.9068" Properties=species:S:1:pos:R:3 pbc="T T T"
Be -1.8845 -4.1376 0.6095
Si -2.2588 -0.2268 -0.1448
Si -0.9762 -2.1434 0.3158
Si -4.0958 -4.2601 0.4493
Sm -3.0312 -2.6731 -1.8877
Sm -2.6319 -6.5292 -1.1414
```

Properties
Uncorrected energy = -33.5 eV per cell
SG = Pmm2 (25)

# 3
Computed, not measured: SmBeSi after structural relaxation at the PBE level of DFT.

```
3
Lattice="0.0000 3.2697 3.2697 3.2697 0.0000 3.2697 3.2697 3.2697 0.0000" Properties=species:S:1:pos:R:3 pbc="T T T"
Be 1.6349 1.6349 1.6349
Si 4.9045 4.9045 4.9045
Sm 0.0000 0.0000 0.0000
```

Properties
Uncorrected energy = -12.4 eV per cell
SG = F-43m (216)